--- one ---
DFT (PBEsol) results for an optimized crystal structure of Cd2MoAu.

It has space group I4/mmm (No. 139), with a = 4.3323 Å, b = 4.3323 Å, c = 7.6508 Å, α = 90.00°, β = 90.00° and γ = 90.00°. The distinct sites, in fractional coordinates, are Cd at (0.0000, 0.5000, 0.2500), Mo at (0.0000, 0.0000, 0.0000) and Au at (0.0000, 0.0000, 0.5000).

For the density of states at the Fermi level, the calculation gives 4.1 states/eV per cell.

=====

--- two ---
DFT (PBEsol) results for an optimized crystal structure of Cd2MoAu.

It has space group R-3m (No. 166, hexagonal axes), with a = 2.8860 Å, b = 2.8860 Å, c = 29.1259 Å, α = 90.00°, β = 90.00° and γ = 120.00°. The distinct sites, in fractional coordinates, are Cd at (0.0000, 0.0000, 0.2504), Mo at (0.0000, 0.0000, 0.0000) and Au at (0.0000, 0.0000, 0.5000).

For the density of states at the Fermi level, the calculation gives 6.3 states/eV per cell.

=====

--- three ---
DFT (PBEsol) results for an optimized crystal structure of Cd2MoAu.

It has space group P4mm (No. 99), with a = 2.8471 Å, b = 2.8471 Å, c = 8.6797 Å, α = 90.00°, β = 90.00° and γ = 90.00°. The distinct sites, in fractional coordinates, are Cd at (0.0000, 0.0000, 0.0000), Cd at (0.5000, 0.5000, 0.2733), Mo at (0.0000, 0.0000, 0.5217) and Au at (0.5000, 0.5000, 0.7475).

For the density of states at the Fermi level, the calculation gives 2.1 states/eV per cell.

=====

The data favor three; the next most stable structure lies 65 meV/atom above it.